w | Below is a relaxed Cr3Se crystal, with properties calculated at the PBE level.

Unit cell a=7.9452 b=7.9452 c=2.8140 alpha=90.00 beta=90.00 gamma=120.00
Space group R-3m (No. 166, hexagonal axes)
One atom of each set of equivalent atoms:
1 Cr 0.0000 0.5000 0.0000 x9
2 Se 0.0000 0.0000 0.0000 x3

Properties
Total moment, μB/cell: 4.1

---

x | Below is a relaxed Cr3Se crystal, with properties calculated at the PBE level.

Unit cell a=4.327 b=4.786 c=5.088 alpha=90.00 beta=90.00 gamma=90.00
Space group Pmmn (No. 59, origin choice 2)
One atom of each set of equivalent atoms:
1 Cr 0.250 0.030 0.172 x4
2 Cr 0.250 0.250 0.748 x2
3 Se 0.250 0.750 0.623 x2

Properties
Total moment, μB/cell: 0.7

---

Verdict on stability: x comes out on top.

---

w | Below is a relaxed Cr3Se crystal, with properties calculated at the PBE level.

Unit cell a=5.0696 b=5.0696 c=4.4380 alpha=90.00 beta=90.00 gamma=120.00
Space group P6_3/mmc (No. 194)
One atom of each set of equivalent atoms:
1 Cr 0.1640 0.3281 0.2500 x6
2 Se 0.3333 0.6667 0.7500 x2

Properties
Total moment, μB/cell: 0.0

---

x | Below is a relaxed Cr3Se crystal, with properties calculated at the PBE level.

Unit cell a=2.8961 b=2.8961 c=21.9799 alpha=90.00 beta=90.00 gamma=120.00
Space group R-3m (No. 166, hexagonal axes)
One atom of each set of equivalent atoms:
1 Cr 0.0000 0.0000 0.0000 x3
2 Cr 0.0000 0.0000 0.2543 x6
3 Se 0.0000 0.0000 0.5000 x3

Properties
Total moment, μB/cell: 2.7

---

Verdict on stability: w comes out on top.

---

w | Below is a relaxed Cr3Se crystal, with properties calculated at the PBE level.

Unit cell a=5.885 b=5.885 c=5.885 alpha=90.00 beta=90.00 gamma=90.00
Space group Fm-3m (No. 225)
One atom of each set of equivalent atoms:
1 Cr 0.000 0.000 0.000 x4
2 Cr 0.250 0.250 0.250 x8
3 Se 0.000 0.000 0.500 x4

Properties
Total moment, μB/cell: 0.4

---

x | Below is a relaxed Cr3Se crystal, with properties calculated at the PBE level.

Unit cell a=4.604 b=4.604 c=4.604 alpha=90.00 beta=90.00 gamma=90.00
Space group Pm-3n (No. 223)
One atom of each set of equivalent atoms:
1 Cr 0.000 0.250 0.500 x6
2 Se 0.000 0.000 0.000 x2

Properties
Total moment, μB/cell: 0.0

---

y | Below is a relaxed Cr3Se crystal, with properties calculated at the PBE level.

Unit cell a=5.833 b=7.273 c=5.136 alpha=90.00 beta=90.00 gamma=90.00
Space group Pnma (No. 62)
One atom of each set of equivalent atoms:
1 Cr 0.017 0.250 0.101 x4
2 Cr 0.183 0.540 0.337 x8
3 Se 0.116 0.250 0.563 x4

Properties
Total moment, μB/cell: 0.8

---

Verdict on stability: x comes out on top.

---

w | Below is a relaxed Cr3Se crystal, with properties calculated at the PBE level.

Unit cell a=2.9944 b=2.9944 c=7.0864 alpha=90.00 beta=90.00 gamma=120.00
Space group P-6m2 (No. 187)
One atom of each set of equivalent atoms:
1 Cr 0.0000 0.0000 0.0000 x1
2 Cr 0.3333 0.6667 0.2493 x2
3 Se 0.0000 0.0000 0.5000 x1

Properties
Total moment, μB/cell: 1.3

---

x | Below is a relaxed Cr3Se crystal, with properties calculated at the PBE level.

Unit cell a=3.711 b=3.711 c=3.711 alpha=90.00 beta=90.00 gamma=90.00
Space group Pm-3m (No. 221)
One atom of each set of equivalent atoms:
1 Cr 0.000 0.000 0.500 x3
2 Se 0.500 0.500 0.500 x1

Properties
Total moment, μB/cell: 3.8

---

y | Below is a relaxed Cr3Se crystal, with properties calculated at the PBE level.

Unit cell a=3.486 b=3.486 c=8.309 alpha=90.00 beta=90.00 gamma=90.00
Space group I4/mmm (No. 139)
One atom of each set of equivalent atoms:
1 Cr 0.000 0.000 0.000 x2
2 Cr 0.000 0.500 0.250 x4
3 Se 0.000 0.000 0.500 x2

Properties
Total moment, μB/cell: 1.8

---

Verdict on stability: y comes out on top.

---

w | Below is a relaxed Cr3SiSe crystal, with properties calculated at the PBE level.

Unit cell a=4.693 b=4.693 c=4.693 alpha=90.00 beta=90.00 gamma=90.00
Space group Pm-3m (No. 221)
One atom of each set of equivalent atoms:
1 Cr 0.000 0.000 0.500 x3
2 Si 0.000 0.000 0.000 x1
3 Se 0.500 0.500 0.500 x1

Properties
Total moment, μB/cell: 12.0

---

x | Below is a relaxed Cr3SiSe crystal, with properties calculated at the PBE level.

Unit cell a=4.734 b=4.734 c=4.734 alpha=90.00 beta=90.00 gamma=90.00
Space group Pm-3m (No. 221)
One atom of each set of equivalent atoms:
1 Cr 0.000 0.000 0.500 x3
2 Si 0.500 0.500 0.500 x1
3 Se 0.000 0.000 0.000 x1

Properties
Total moment, μB/cell: 11.9

---

Verdict on stability: w comes out on top.

---

w | Below is a relaxed CrSi2Se2 crystal, with properties calculated at the PBE level.

Unit cell a=5.045 b=5.045 c=7.089 alpha=90.00 beta=90.00 gamma=90.00
Space group I4/mmm (No. 139)
One atom of each set of equivalent atoms:
1 Cr 0.000 0.000 0.000 x2
2 Si 0.000 0.000 0.338 x4
3 Se 0.000 0.500 0.250 x4

Properties
Total moment, μB/cell: 0.2

---

x | Below is a relaxed CrSi2Se2 crystal, with properties calculated at the PBE level.

Unit cell a=6.491 b=6.491 c=3.961 alpha=90.00 beta=90.00 gamma=90.00
Space group P4/mbm (No. 127)
One atom of each set of equivalent atoms:
1 Cr 0.000 0.000 0.000 x2
2 Si 0.137 0.363 0.000 x4
3 Se 0.198 0.698 0.500 x4

Properties
Total moment, μB/cell: 0.0

---

Verdict on stability: x comes out on top.

---

w | Below is a relaxed CrSn3Se crystal, with properties calculated at the PBE level.

Unit cell a=5.093 b=5.093 c=5.093 alpha=90.00 beta=90.00 gamma=90.00
Space group Pm-3m (No. 221)
One atom of each set of equivalent atoms:
1 Cr 0.000 0.000 0.000 x1
2 Sn 0.000 0.000 0.500 x3
3 Se 0.500 0.500 0.500 x1

Properties
Total moment, μB/cell: 2.0

---

x | Below is a relaxed CrSn3Se crystal, with properties calculated at the PBE level.

Unit cell a=5.402 b=5.402 c=5.402 alpha=90.00 beta=90.00 gamma=90.00
Space group Pm-3m (No. 221)
One atom of each set of equivalent atoms:
1 Cr 0.000 0.000 0.000 x1
2 Sn 0.000 0.500 0.500 x3
3 Se 0.500 0.500 0.500 x1

Properties
Total moment, μB/cell: 0.5

---

Verdict on stability: w comes out on top.

---

w | Below is a relaxed SrCrSe crystal, with properties calculated at the PBE level.

Unit cell a=5.183 b=5.199 c=11.423 alpha=90.00 beta=90.00 gamma=90.00
Space group Fmm2 (No. 42)
One atom of each set of equivalent atoms:
1 Sr 0.000 0.000 0.000 x4
2 Cr 0.000 0.000 0.283 x4
3 Se 0.000 0.000 0.705 x4

Properties
Total moment, μB/cell: 16.8

---

x | Below is a relaxed SrCrSe crystal, with properties calculated at the PBE level.

Unit cell a=7.311 b=7.311 c=7.311 alpha=90.00 beta=90.00 gamma=90.00
Space group F-43m (No. 216)
One atom of each set of equivalent atoms:
1 Sr 0.000 0.000 0.000 x4
2 Cr 0.250 0.250 0.250 x4
3 Se 0.250 0.250 0.750 x4

Properties
Total moment, μB/cell: 23.6

---

y | Below is a relaxed SrCrSe crystal, with properties calculated at the PBE level.

Unit cell a=6.984 b=6.984 c=6.984 alpha=90.00 beta=90.00 gamma=90.00
Space group F-43m (No. 216)
One atom of each set of equivalent atoms:
1 Sr 0.000 0.000 0.000 x4
2 Cr 0.000 0.000 0.500 x4
3 Se 0.250 0.250 0.250 x4

Properties
Total moment, μB/cell: 18.8

---

z | Below is a relaxed SrCrSe crystal, with properties calculated at the PBE level.

Unit cell a=4.4467 b=4.4467 c=4.4932 alpha=90.00 beta=90.00 gamma=120.00
Space group P-6m2 (No. 187)
One atom of each set of equivalent atoms:
1 Sr 0.0000 0.0000 0.0000 x1
2 Cr 0.6667 0.3333 0.5000 x1
3 Se 0.3333 0.6667 0.5000 x1

Properties
Total moment, μB/cell: 4.1

---

Verdict on stability: z comes out on top.